No. 1
## YBeCu2Au4 (PBE)

Data for crystalline YBeCu2Au4 at its relaxed geometry.

```
data_YBeCu2Au4
_symmetry_space_group_name_H-M 'R -3 m'
_symmetry_Int_Tables_number 166
_symmetry_space_group_name_Hall '-R 3 2"'
_cell_length_a 4.5438
_cell_length_b 4.5438
_cell_length_c 22.4655
_cell_angle_alpha 90.00
_cell_angle_beta 90.00
_cell_angle_gamma 120.00
loop_
_atom_site_label
_atom_site_type_symbol
_atom_site_fract_x
_atom_site_fract_y
_atom_site_fract_z
Y1 Y 0.0000 0.0000 0.0000
Be1 Be 0.0000 0.0000 0.5000
Cu1 Cu 0.0000 0.0000 0.2562
Au1 Au 0.0000 0.0000 0.1357
Au2 Au 0.0000 0.0000 0.3970
```

## Properties
Energy of formation from the pure elements = -0.288 eV/atom
Raw total energy = -4.225 eV per atom

No. 2
## Be2ZnCuAu2 (PBE)

Data for crystalline Be2ZnCuAu2 at its relaxed geometry.

```
data_Be2ZnCuAu2
_symmetry_space_group_name_H-M 'P -3 m 1'
_symmetry_Int_Tables_number 164
_symmetry_space_group_name_Hall '-P 3 2"'
_cell_length_a 4.2043
_cell_length_b 4.2043
_cell_length_c 5.1675
_cell_angle_alpha 90.00
_cell_angle_beta 90.00
_cell_angle_gamma 120.00
loop_
_atom_site_label
_atom_site_type_symbol
_atom_site_fract_x
_atom_site_fract_y
_atom_site_fract_z
Be1 Be 0.3333 0.6667 0.2161
Zn1 Zn 0.0000 0.0000 0.5000
Cu1 Cu 0.0000 0.0000 0.0000
Au1 Au 0.3333 0.6667 0.7412
```

## Properties
Energy of formation from the pure elements = -0.138 eV/atom
Raw total energy = -3.368 eV per atom

No. 3
## Be2ZnCu5Au2 (PBE)

Data for crystalline Be2ZnCu5Au2 at its relaxed geometry.

```
data_Be2ZnCu5Au2
_symmetry_space_group_name_H-M 'P 4/m b m'
_symmetry_Int_Tables_number 127
_symmetry_space_group_name_Hall '-P 4 2ab'
_cell_length_a 8.207
_cell_length_b 8.207
_cell_length_c 3.768
_cell_angle_alpha 90.00
_cell_angle_beta 90.00
_cell_angle_gamma 90.00
loop_
_atom_site_label
_atom_site_type_symbol
_atom_site_fract_x
_atom_site_fract_y
_atom_site_fract_z
Be1 Be 0.121 0.379 0.000
Zn1 Zn 0.000 0.000 0.000
Cu1 Cu 0.000 0.500 0.500
Cu2 Cu 0.077 0.204 0.500
Au1 Au 0.173 0.673 0.000
```

## Properties
Energy of formation from the pure elements = -0.075 eV/atom
Raw total energy = -3.651 eV per atom

No. 4
## Be2ZnCuAu4 (PBE)

Data for crystalline Be2ZnCuAu4 at its relaxed geometry.

```
data_Be2ZnCuAu4
_symmetry_space_group_name_H-M 'P 4/m m m'
_symmetry_Int_Tables_number 123
_symmetry_space_group_name_Hall '-P 4 2'
_cell_length_a 4.174
_cell_length_b 4.174
_cell_length_c 7.491
_cell_angle_alpha 90.00
_cell_angle_beta 90.00
_cell_angle_gamma 90.00
loop_
_atom_site_label
_atom_site_type_symbol
_atom_site_fract_x
_atom_site_fract_y
_atom_site_fract_z
Be1 Be 0.000 0.000 0.142
Zn1 Zn 0.500 0.500 0.500
Cu1 Cu 0.500 0.500 0.000
Au1 Au 0.000 0.500 0.272
```

## Properties
Energy of formation from the pure elements = 0.108 eV/atom
Raw total energy = -3.134 eV per atom